! YAl2Tc GGA-PBE relaxed; values from VASP
! space-group type	Cmmm (65)
! E_form	-55.4	meV per atom
! DFT total energy	-6.1342	eV per atom
&SYSTEM
  ibrav = 0, nat = 4, ntyp = 3
/
ATOMIC_SPECIES
Y 88.91 Y.upf
Al 26.98 Al.upf
Tc 98.00 Tc.upf
CELL_PARAMETERS angstrom
2.8461 -3.7584 0.0000
2.8461 3.7584 0.0000
0.0000 0.0000 3.3987
ATOMIC_POSITIONS crystal
Y 0.0000 0.0000 0.0000
Al 0.0000 0.5000 0.5000
Al 0.5000 0.0000 0.5000
Tc 0.5000 0.5000 0.0000